Record 1
Computed, not measured: a relaxed structure of LuTh2Ir at the PBE level of DFT.

a b c (Å): 3.8663 3.8663 30.8396
angles (deg): 90.00 90.00 120.00
Space group R-3m (No. 166, hexagonal axes)
One atom of each set of equivalent atoms:
Lu (0.0000, 0.0000, 0.0000) x3
Th (0.0000, 0.0000, 0.1106) x6
Ir (0.0000, 0.0000, 0.5000) x3

Summary:
E_form (eV/atom): -0.071
Total DFT energy (no corrections) (eV/cell): -85.5

***

Record 2
Computed, not measured: a relaxed structure of Cs2LiSb2 at the PBE level of DFT.

a b c (Å): 11.1567 7.8321 9.6813
angles (deg): 90.00 95.88 90.00
Space group C2/c (No. 15)
One atom of each set of equivalent atoms:
Cs (0.1498, 0.1368, 0.1491) x8
Li (0.0000, 0.4518, 0.7500) x4
Sb (0.1400, 0.3462, 0.5119) x8

Summary:
Energy relative to the lowest polymorph listed for this composition (eV per atom): 0.000
ΔE_f (raw) (eV per atom): -0.351
Total DFT energy (no corrections) (eV/cell): -54.5

***

Record 3
Computed, not measured: a relaxed structure of Pr2TmTh3Bi6 at the PBE level of DFT.

a b c (Å): 19.9971 4.5886 9.1565
angles (deg): 90.00 103.16 90.00
Space group C2/m (No. 12)
One atom of each set of equivalent atoms:
Pr (0.1665, 0.0000, 0.3334) x4
Tm (0.0000, 0.5000, 0.0000) x2
Th (0.0000, 0.5000, 0.5000) x2
Th (0.1696, 0.0000, 0.8341) x4
Bi (0.0019, 0.0000, 0.7591) x4
Bi (0.1621, 0.5000, 0.0791) x4
Bi (0.1659, 0.5000, 0.5843) x4

Summary:
E_form (eV/atom): -0.733
Total DFT energy (no corrections) (eV/cell): -136.7

***

Record 4
Computed, not measured: a relaxed structure of SiTePt at the PBE level of DFT.

a b c (Å): 6.4501 5.6592 7.4983
angles (deg): 90.00 91.32 90.00
Space group P2_1/c (No. 14)
One atom of each set of equivalent atoms:
Si (0.1136, 0.1178, 0.1540) x4
Te (0.3805, 0.7303, 0.6153) x4
Pt (0.2184, 0.0654, 0.8411) x4

Summary:
ΔE_f (raw) (eV per atom): -0.394
Total DFT energy (no corrections) (eV/cell): -63.2

***

Record 5
Computed, not measured: a relaxed structure of SiBr2 at the PBE level of DFT.

a b c (Å): 8.7004 8.7004 8.7004
angles (deg): 90.00 90.00 90.00
Space group Fd-3m (No. 227, origin choice 2)
One atom of each set of equivalent atoms:
Si (0.1250, 0.1250, 0.1250) x8
Br (0.0000, 0.0000, 0.5000) x16

Summary:
ΔE_f (raw) (eV per atom): 1.160
Total DFT energy (no corrections) (eV/cell): -42.3

***

Record 6
Computed, not measured: a relaxed structure of GaTeOsI2 at the PBE level of DFT.

a b c (Å): 5.7321 5.7321 4.9830
angles (deg): 90.00 90.00 90.00
Space group P4/mmm (No. 123)
One atom of each set of equivalent atoms:
Ga (0.0000, 0.0000, 0.0000) x1
Te (0.5000, 0.5000, 0.0000) x1
Os (0.5000, 0.5000, 0.5000) x1
I (0.0000, 0.5000, 0.5000) x2

Summary:
Energy relative to the lowest polymorph listed for this composition (eV per atom): 0.000
ΔE_f (raw) (eV per atom): 0.488
Total DFT energy (no corrections) (eV/cell): -18.1

***

Record 7
Computed, not measured: a relaxed structure of PdI4 at the PBE level of DFT.

a b c (Å): 5.5145 5.5145 5.5145
angles (deg): 90.00 90.00 90.00
Space group Pm-3m (No. 221)
One atom of each set of equivalent atoms:
Pd (0.0000, 0.0000, 0.0000) x1
I (0.0000, 0.0000, 0.5000) x3
I (0.5000, 0.5000, 0.5000) x1

Summary:
Energy relative to the lowest polymorph listed for this composition (eV per atom): 0.207
ΔE_f (raw) (eV per atom): 0.148
Total DFT energy (no corrections) (eV/cell): -10.7

***

Record 8
Computed, not measured: a relaxed structure of PrPaGa2 at the PBE level of DFT.

a b c (Å): 7.2909 7.2909 7.2909
angles (deg): 90.00 90.00 90.00
Space group Fm-3m (No. 225)
One atom of each set of equivalent atoms:
Pr (0.0000, 0.0000, 0.0000) x4
Pa (0.0000, 0.0000, 0.5000) x4
Ga (0.2500, 0.2500, 0.2500) x8

Summary:
Energy relative to the lowest polymorph listed for this composition (eV per atom): 0.122
E_form (eV/atom): -0.227
Total DFT energy (no corrections) (eV/cell): -85.0

***

Record 9
Computed, not measured: a relaxed structure of AgIr2Au at the PBE level of DFT.

a b c (Å): 9.1526 2.8204 5.0964
angles (deg): 90.00 99.38 90.00
Space group Cm (No. 8)
One atom of each set of equivalent atoms:
Ag (0.0000, 0.0000, 0.0000) x2
Ir (0.2550, 0.5000, 0.3063) x2
Ir (0.4944, 0.0000, 0.4753) x2
Au (0.2454, 0.0000, 0.7815) x2

Summary:
Energy relative to the lowest polymorph listed for this composition (eV per atom): 0.176
E_form (eV/atom): 0.358
Total DFT energy (no corrections) (eV/cell): -44.8

***

Record 10
Computed, not measured: a relaxed structure of CaPrMgSi at the PBE level of DFT.

a b c (Å): 7.4276 7.4276 7.4276
angles (deg): 90.00 90.00 90.00
Space group F-43m (No. 216)
One atom of each set of equivalent atoms:
Ca (0.0000, 0.0000, 0.0000) x4
Pr (0.0000, 0.0000, 0.5000) x4
Mg (0.2500, 0.2500, 0.2500) x4
Si (0.2500, 0.2500, 0.7500) x4

Summary:
ΔE_f (raw) (eV per atom): -0.229
Total DFT energy (no corrections) (eV/cell): -58.9

***

Record 11
Computed, not measured: a relaxed structure of LiBi2SbS4 at the PBE level of DFT.

a b c (Å): 6.6468 3.8529 7.6273
angles (deg): 90.00 107.43 90.00
Space group P2/m (No. 10)
One atom of each set of equivalent atoms:
Li (0.0000, 0.0000, 0.0000) x1
Bi (0.0000, 0.5000, 0.5000) x1
Bi (0.5000, 0.0000, 0.5000) x1
Sb (0.5000, 0.5000, 0.0000) x1
S (0.2529, 0.0000, 0.7790) x2
S (0.2598, 0.5000, 0.2423) x2

Summary:
ΔE_f (raw) (eV per atom): -0.350
Total DFT energy (no corrections) (eV/cell): -33.1

***

Record 12
Computed, not measured: a relaxed structure of AgAs2PtSe at the PBE level of DFT.

a b c (Å): 5.0604 5.0604 4.7049
angles (deg): 90.00 90.00 90.00
Space group P4/mmm (No. 123)
One atom of each set of equivalent atoms:
Ag (0.0000, 0.0000, 0.0000) x1
As (0.0000, 0.5000, 0.5000) x2
Pt (0.5000, 0.5000, 0.0000) x1
Se (0.5000, 0.5000, 0.5000) x1

Summary:
Energy relative to the lowest polymorph listed for this composition (eV per atom): 0.314
ΔE_f (raw) (eV per atom): 0.881
Total DFT energy (no corrections) (eV/cell): -17.3

***

What is the formula in the second record? Cs2LiSb2

***

Which of these has the lowest total DFT energy (no corrections)? Pr2TmTh3Bi6